Record 1
A relaxed Hf2IrRuO crystal. Source: the Alexandria database, functional PBE.

## Properties
mass density: 9.566 Mg/m³
ΔE_f (raw): 0.943 eV/atom
E_tot: -7.658 eV/atom
spin magnetization: 0.0 μB per formula unit

Unit cell a=5.0179 b=4.5932 c=5.0179 alpha=90.00 beta=90.00 gamma=90.00
Atoms (fractional coordinates):
Ru 0.0000 0.5000 0.0000
Ir 0.0000 0.0000 0.0000
Hf 0.0000 0.0000 0.5000
Hf 0.5000 0.0000 0.0000
O 0.5000 0.5000 0.5000

Record 2
A relaxed HfSc2IrO crystal. Source: the Alexandria database, functional PBE.

## Properties
mass density: 9.811 Mg/m³
ΔE_f (raw): -1.487 eV/atom
E_tot: -8.774 eV/atom
spin magnetization: 0.0 μB per formula unit

Unit cell a=4.2573 b=4.2573 c=4.4509 alpha=90.00 beta=90.00 gamma=90.00
Atoms (fractional coordinates):
Sc 0.0000 0.5000 0.0000
Sc 0.5000 0.0000 0.0000
Ir 0.5000 0.5000 0.5000
Hf 0.0000 0.0000 0.5000
O 0.0000 0.0000 0.0000

Record 3
A relaxed HfSi2IrO crystal. Source: the Alexandria database, functional PBE.

## Properties
mass density: 5.818 Mg/m³
ΔE_f (raw): 1.595 eV/atom
E_tot: -5.329 eV/atom
spin magnetization: 2.3 μB per formula unit

Unit cell a=5.1076 b=4.8456 c=5.1076 alpha=90.00 beta=90.00 gamma=90.00
Last column: magnetic moment on the atom in μB.
Atoms (fractional coordinates):
Si 0.0000 0.0000 0.5000  0.03
Si 0.5000 0.0000 0.0000  0.04
Ir 0.0000 0.5000 0.0000  0.55
Hf 0.0000 0.0000 0.0000  0.09
O 0.5000 0.5000 0.5000  1.20

Record 4
A relaxed Sr2HfIr3O12 crystal. Source: the Alexandria database, functional PBE.

## Properties
mass density: 6.672 Mg/m³
ΔE_f (raw): -1.572 eV/atom
E_tot: -7.094 eV/atom
spin magnetization: 2.7 μB per formula unit

Unit cell a=7.4123 b=7.4123 c=7.4123 alpha=58.69 beta=58.69 gamma=58.69
Last column: magnetic moment on the atom in μB.
Atoms (fractional coordinates):
Sr 0.6922 0.6922 0.6922  0.01
Sr 0.3078 0.3078 0.3078  0.01
Hf 0.0000 0.0000 0.0000  0.00
Ir 0.5000 0.0000 0.0000  0.48
Ir 0.0000 0.5000 0.0000  0.48
Ir 0.0000 0.0000 0.5000  0.48
O 0.3160 0.3160 0.9301  0.08
O 0.9201 0.9201 0.3405  0.08
O 0.3405 0.9201 0.9201  0.08
O 0.9301 0.3160 0.3160  0.08
O 0.9201 0.3405 0.9201  0.08
O 0.3160 0.9301 0.3160  0.08
O 0.6840 0.6840 0.0699  0.08
O 0.0799 0.0799 0.6595  0.08
O 0.6595 0.0799 0.0799  0.08
O 0.0699 0.6840 0.6840  0.08
O 0.0799 0.6595 0.0799  0.08
O 0.6840 0.0699 0.6840  0.08